Below is crystalline RbCuAg2F6 at its relaxed geometry, with properties calculated at the PBE level.

The structure in extended XYZ format:
```
20
Lattice="6.057 0.000 0.000 0.000 5.923 0.000 -4.673 0.000 9.387" Properties=species:S:1:pos:R:3 pbc="T T T"
Rb 0.000 0.000 0.000
Rb -2.337 2.962 4.694
Cu 0.692 0.000 4.694
Cu 3.028 2.962 0.000
Ag -1.895 0.032 7.316
Ag 0.441 2.930 2.623
Ag 0.942 2.993 6.764
Ag 3.279 5.891 2.071
F -1.157 1.433 2.365
F -3.494 1.529 7.058
F 2.039 4.263 0.970
F -0.298 4.622 5.664
F -0.256 1.351 5.634
F 2.080 1.611 0.940
F -0.697 4.312 8.447
F 1.640 4.573 3.753
F 1.681 1.302 3.723
F -0.656 1.660 8.417
F 4.877 4.394 2.329
F 2.540 4.490 7.022
```

## Properties
Space-group type: P2_1/c, No. 14
Raw formation energy (eV per atom): -1.571